# 1
Computed, not measured: a relaxed AlPtCN2 crystal at the PBEsol level of DFT.

```
AlPtCN2
1.0
3.6867 0.0000 0.0000
0.0000 3.6867 0.0000
0.0000 0.0000 3.8871
C Al Pt N
1 1 1 2
Direct
0.0000 0.0000 0.5000 C
0.0000 0.0000 0.0000 Al
0.5000 0.5000 0.5000 Pt
0.0000 0.5000 0.0000 N
0.5000 0.0000 0.0000 N
```

Values from the calculation:
The raw formation energy is 1.6250 eV/atom. The total energy is -0.218 Ha/atom. The space-group type is No. 123.

=====

# 2
Computed, not measured: a relaxed AlCSe2N crystal at the PBEsol level of DFT.

```
AlCSe2N
1.0
2.5099 0.0000 0.0000
0.0000 5.7343 0.0000
0.0000 0.0000 5.7343
C Al Se N
1 1 2 1
Direct
0.0000 0.0000 0.0000 C
0.5000 0.5000 0.5000 Al
0.0000 0.0000 0.5000 Se
0.0000 0.5000 0.0000 Se
0.5000 0.0000 0.0000 N
```

Values from the calculation:
The raw formation energy is 0.5322 eV/atom. The total energy is -0.201 Ha/atom. The space-group type is No. 123.